No. 1
{
  "formula": "LiTlCl2",
  "functional": "PBE-GGA",
  "state": "optimized geometry",
  "lattice": [[6.443, 0.000, 0.000], [0.000, 6.503, 0.000], [0.000, 0.000, 10.665]],
  "species": ["Li", "Li", "Li", "Li", "Tl", "Tl", "Tl", "Tl", "Cl", "Cl", "Cl", "Cl", "Cl", "Cl", "Cl", "Cl"],
  "fractional_positions": [[0.006, 0.557, 0.875], [0.506, 0.943, 0.375], [0.006, 0.057, 0.625], [0.506, 0.443, 0.125], [0.953, 0.510, 0.375], [0.453, 0.490, 0.625], [0.453, 0.990, 0.875], [0.953, 0.010, 0.125], [0.443, 0.087, 0.169], [0.443, 0.587, 0.331], [0.943, 0.913, 0.831], [0.943, 0.413, 0.669], [0.870, 0.484, 0.082], [0.370, 0.516, 0.918], [0.370, 0.016, 0.582], [0.870, 0.984, 0.418]],
  "dft_energy_ha_per_atom": -0.12434,
  "de_polymorph_mev_per_atom": 5,
  "e_form_raw_ev_per_atom": -1.39
}

No. 2
{
  "formula": "LiTlCl2",
  "functional": "PBE-GGA",
  "state": "optimized geometry",
  "lattice": [[-1.008, 3.324, -0.918], [-2.310, -1.547, -3.066], [-5.957, -0.701, 4.005]],
  "species": ["Tl", "Li", "Cl", "Cl"],
  "fractional_positions": [[0.500, 0.750, 0.750], [0.500, 0.250, 0.250], [0.000, 0.206, 0.018], [0.000, 0.294, 0.482]],
  "dft_energy_ha_per_atom": -0.12206,
  "de_polymorph_mev_per_atom": 68,
  "e_form_raw_ev_per_atom": -1.33
}

No. 3
{
  "formula": "Li2TlCl",
  "functional": "PBE-GGA",
  "state": "optimized geometry",
  "lattice": [[-5.110, -0.996, 2.376], [-2.517, -2.769, -4.330], [4.045, -0.180, 4.043]],
  "species": ["Cl", "Li", "Li", "Tl"],
  "fractional_positions": [[0.250, 0.750, 0.500], [0.055, 0.055, 0.000], [0.445, 0.445, 0.000], [0.750, 0.250, 0.500]],
  "dft_energy_ha_per_atom": -0.10054,
  "e_form_raw_ev_per_atom": -0.73
}

No. 4
{
  "formula": "LiTlCl2",
  "functional": "PBE-GGA",
  "state": "optimized geometry",
  "lattice": [[-3.116, -2.512, 6.403], [-6.380, -3.686, 1.652], [6.146, 0.533, -4.354]],
  "species": ["Cl", "Cl", "Li", "Tl"],
  "fractional_positions": [[0.000, 0.000, 0.000], [0.250, 0.750, 0.500], [0.500, 0.500, 0.000], [0.750, 0.250, 0.500]],
  "dft_energy_ha_per_atom": -0.11363,
  "de_polymorph_mev_per_atom": 297,
  "e_form_raw_ev_per_atom": -1.10
}